[1]
# Dy2CdPbAu4

A relaxed structure of Dy2CdPbAu4 (PBE, Alexandria via LeMat-Bulk).

Summary:
**Formation energy**: -485 kJ/mol of formula units

The structure in extended XYZ format:
```
8
Lattice="2.484 1.434 8.230 -2.484 1.434 8.230 0.000 -2.868 8.230" Properties=species:S:1:pos:R:3 pbc="T T T"
Dy 0.000 0.000 6.154
Dy 0.000 0.000 18.536
Cd 0.000 0.000 0.000
Pb 0.000 0.000 12.345
Au 0.000 0.000 2.965
Au 0.000 0.000 9.122
Au 0.000 0.000 15.567
Au 0.000 0.000 21.724
```

***

[2]
# TiCdH3

A relaxed structure of TiCdH3 (PBE, Alexandria via LeMat-Bulk).

Summary:
**Excess energy over the best structure of this formula in the dataset**: 0 meV/atom

The structure in extended XYZ format:
```
5
Lattice="3.657 0.000 0.000 0.000 3.657 0.000 0.000 0.000 3.657" Properties=species:S:1:pos:R:3 pbc="T T T"
Ti 0.000 0.000 0.000
Cd 1.829 1.829 1.829
H 0.000 0.000 1.829
H 0.000 1.829 0.000
H 1.829 0.000 0.000
```

***

[3]
# Dy12AlPd6

A relaxed structure of Dy12AlPd6 (PBE, Alexandria via LeMat-Bulk).

Summary:
**Formation energy**: -1093 kJ/mol of formula units
**Excess energy over the best structure of this formula in the dataset**: 0 meV/atom

The structure in extended XYZ format:
```
19
Lattice="-4.962 4.962 4.962 4.962 -4.962 4.962 4.962 4.962 -4.962" Properties=species:S:1:pos:R:3 pbc="T T T"
Dy 4.962 -2.034 3.146
Dy 2.928 1.816 0.000
Dy 6.996 1.816 0.000
Dy 3.146 4.962 -2.034
Dy 1.816 0.000 2.928
Dy 0.000 2.928 1.816
Dy 4.962 2.034 3.146
Dy 3.146 4.962 2.034
Dy 1.816 0.000 6.996
Dy -2.034 3.146 4.962
Dy 2.034 3.146 4.962
Dy 0.000 6.996 1.816
Al 0.000 0.000 0.000
Pd 4.962 0.000 1.363
Pd 4.962 3.599 0.000
Pd 1.363 4.962 0.000
Pd 3.599 0.000 4.962
Pd 0.000 1.363 4.962
Pd 0.000 4.962 3.599
```

***

[4]
# PW2

A relaxed structure of PW2 (PBE, Alexandria via LeMat-Bulk).

Summary:
**Formation energy**: 267 kJ/mol of formula units

The structure in extended XYZ format:
```
6
Lattice="4.334 0.000 0.000 -2.167 3.753 0.000 0.000 0.000 6.226" Properties=species:S:1:pos:R:3 pbc="T T T"
P 0.000 0.000 1.557
P 0.000 0.000 4.670
W 0.000 2.502 0.283
W 0.000 2.502 2.830
W 2.167 1.251 3.396
W 2.167 1.251 5.943
```

***

[5]
# Mn2CrPt

A relaxed structure of Mn2CrPt (PBE, Alexandria via LeMat-Bulk).

Summary:
**Formation energy**: -28 kJ/mol of formula units

The structure in extended XYZ format:
```
4
Lattice="2.632 0.000 0.000 0.000 3.609 0.000 0.000 0.000 5.298" Properties=species:S:1:pos:R:3 pbc="T T T"
Mn 0.000 0.000 0.000
Mn 1.316 1.805 1.118
Cr 1.316 1.805 4.065
Pt 0.000 0.000 2.624
```

***

[6]
# HfSbSI2

A relaxed structure of HfSbSI2 (PBE, Alexandria via LeMat-Bulk).

Summary:
**Energy relative to the elements, uncorrected**: 0.82 eV/atom
**Excess energy over the best structure of this formula in the dataset**: 527 meV/atom

The structure in extended XYZ format:
```
5
Lattice="5.386 0.000 0.000 0.000 5.386 0.000 0.000 0.000 5.222" Properties=species:S:1:pos:R:3 pbc="T T T"
Hf 0.000 0.000 0.000
Sb 2.693 2.693 0.000
S 2.693 2.693 2.611
I 0.000 2.693 2.611
I 2.693 0.000 2.611
```